1.
## Ba2WSe (PBE)

Data for Ba2WSe after structural relaxation.

Unit cell a=7.861 b=7.861 c=7.861 alpha=90.00 beta=90.00 gamma=90.00
Space group F-43m (No. 216)
One atom of each set of equivalent atoms:
Ba 0.000 0.000 0.000 [4 per cell]
Ba 0.250 0.250 0.250 [4 per cell]
W 0.250 0.250 0.750 [4 per cell]
Se 0.000 0.000 0.500 [4 per cell]

Output
The calculation puts the density of states at the Fermi level at 14.10 states/eV per cell. The calculation puts the formation energy from raw total energies at 728 meV/atom.



2.
## BaW2Se (PBE)

Data for BaW2Se after structural relaxation.

Unit cell a=11.826 b=3.221 c=5.807 alpha=90.00 beta=112.18 gamma=90.00
Space group C2/m (No. 12)
One atom of each set of equivalent atoms:
Ba 0.000 0.000 0.000 [2 per cell]
W 0.207 0.000 0.606 [4 per cell]
Se 0.000 0.500 0.500 [2 per cell]

Output
The calculation puts the density of states at the Fermi level at 6.01 states/eV per cell. The calculation puts the formation energy from raw total energies at 614 meV/atom.



3.
## BaWSe4 (PBE)

Data for BaWSe4 after structural relaxation.

Unit cell a=8.456 b=8.456 c=8.456 alpha=90.00 beta=90.00 gamma=90.00
Space group F-43m (No. 216)
One atom of each set of equivalent atoms:
Ba 0.000 0.000 0.000 [4 per cell]
W 0.250 0.250 0.250 [4 per cell]
Se 0.123 0.123 0.623 [16 per cell]

Output
The calculation puts the density of states at the Fermi level at 20.15 states/eV per cell. The calculation puts the formation energy from raw total energies at 641 meV/atom.



4.
## BaW4Se8 (PBE)

Data for BaW4Se8 after structural relaxation.

Unit cell a=17.539 b=3.470 c=12.145 alpha=90.00 beta=130.32 gamma=90.00
Space group C2/m (No. 12)
One atom of each set of equivalent atoms:
Ba 0.000 0.000 0.000 [2 per cell]
W 0.173 0.000 0.483 [4 per cell]
W 0.188 0.500 0.872 [4 per cell]
Se 0.044 0.000 0.755 [4 per cell]
Se 0.132 0.500 0.594 [4 per cell]
Se 0.145 0.500 0.306 [4 per cell]
Se 0.188 0.500 0.078 [4 per cell]

Output
The calculation puts the density of states at the Fermi level at 8.24 states/eV per cell. The calculation puts the formation energy from raw total energies at -431 meV/atom.



5.
## Ba2WSe5 (PBE)

Data for Ba2WSe5 after structural relaxation.

Unit cell a=7.503 b=7.503 c=8.981 alpha=90.00 beta=90.00 gamma=90.00
Space group I4mm (No. 107)
One atom of each set of equivalent atoms:
Ba 0.000 0.500 0.000 [4 per cell]
W 0.000 0.000 0.188 [2 per cell]
Se 0.000 0.000 0.934 [2 per cell]
Se 0.230 0.230 0.253 [8 per cell]

Output
The calculation puts the density of states at the Fermi level at 1.19 states/eV per cell. The calculation puts the formation energy from raw total energies at -1136 meV/atom.



6.
## BaWSe (PBE)

Data for BaWSe after structural relaxation.

Unit cell a=4.2879 b=4.2879 c=5.2712 alpha=90.00 beta=90.00 gamma=120.00
Space group P3m1 (No. 156)
One atom of each set of equivalent atoms:
Ba 0.0000 0.0000 0.0000 [1 per cell]
W 0.3333 0.6667 0.4996 [1 per cell]
Se 0.6667 0.3333 0.4990 [1 per cell]

Output
The calculation puts the density of states at the Fermi level at 1.54 states/eV per cell. Its energy above the most stable polymorph in this dataset is 51 meV/atom. The calculation puts the formation energy from raw total energies at 277 meV/atom.